A plane-wave DFT calculation with GGA-PBE was carried out for a relaxed PuP2O8F crystal.

Properties
mass density = 4.94 g cm⁻³
energy relative to the elements, uncorrected = -1.97 eV/atom
density of states at the Fermi level = 7.413 states/eV per cell
SG = No. 164

Cell and atoms, written as POSCAR:
```
PuP2O8F
1.0
6.101 0.000 0.000
-3.051 5.284 0.000
0.000 0.000 4.726
Pu P O F
1 2 8 1
direct
0.000 0.000 0.000 Pu
0.333 0.667 0.280 P
0.667 0.333 0.720 P
0.196 0.391 0.171 O
0.196 0.804 0.171 O
0.333 0.667 0.601 O
0.391 0.196 0.829 O
0.609 0.804 0.171 O
0.667 0.333 0.399 O
0.804 0.196 0.829 O
0.804 0.609 0.829 O
0.000 0.000 0.500 F
```